Entry 1:
Compound: Ac3NdSm2Te6
Source: the Alexandria database
Functional: PBE
Structure: optimized geometry

Its energy relative to the elements, uncorrected is -139.0 kJ per mole of atoms.

The space group is C2/m (No. 12) and the conventional cell measures 20.1092, 4.5593 and 9.2764 Å, with angles of 90.00, 104.36 and 90.00 degrees. Symmetry generates all atoms from Ac at (0.0000, 0.0000, 0.0000), Ac at (0.1655, 0.5000, 0.3328), Nd at (0.0000, 0.0000, 0.5000), Sm at (0.1664, 0.5000, 0.8326), Te at (0.0047, 0.5000, 0.7426), Te at (0.1641, 0.0000, 0.5945) and Te at (0.1711, 0.0000, 0.0725).


Entry 2:
Compound: Th2HgGe3Pt4
Source: the Alexandria database
Functional: PBE
Structure: optimized geometry

The value obtained for the formation energy is -0.789 eV/atom.

The space group is P-4m2 (No. 115) and the conventional cell measures 4.2361, 4.2361 and 11.2027 Å, with angles of 90.00, 90.00 and 90.00 degrees. Symmetry generates all atoms from Th at (0.0000, 0.5000, 0.2400), Hg at (0.0000, 0.0000, 0.5000), Ge at (0.0000, 0.5000, 0.8756), Ge at (0.5000, 0.5000, 0.5000), Pt at (0.0000, 0.0000, 0.0000), Pt at (0.0000, 0.5000, 0.6600) and Pt at (0.5000, 0.5000, 0.0000).


Entry 3:
Compound: HfBPRhCl
Source: the Alexandria database
Functional: PBE
Structure: optimized geometry

The energy above the most stable polymorph in this dataset comes out at 104.4 meV/atom. Its energy relative to the elements, uncorrected is -51.2 kJ per mole of atoms.

The space group is P1 (No. 1) and the conventional cell measures 3.1303, 4.1414 and 8.2877 Å, with angles of 77.43, 80.22 and 90.00 degrees. Symmetry generates all atoms from Hf at (0.0000, 0.0000, 0.0000), B at (0.8704, 0.6418, 0.2882), P at (0.3555, 0.8712, 0.3213), Rh at (0.4310, 0.4274, 0.1524) and Cl at (0.6115, 0.1005, 0.7523).